First-principles (PBE) data for a geometry-optimized Mg12AgPb3 structure, as listed in Alexandria.

a b c (Å): 4.5256 4.5256 18.0026
angles (deg): 90.00 90.00 90.00
Positions (direct):
Mg: 0.0000 0.0000 0.0000
Mg: 0.0000 0.0000 0.2414
Mg: 0.0000 0.0000 0.5000
Mg: 0.0000 0.0000 0.7586
Mg: 0.0000 0.5000 0.1118
Mg: 0.0000 0.5000 0.3712
Mg: 0.0000 0.5000 0.6288
Mg: 0.0000 0.5000 0.8882
Mg: 0.5000 0.0000 0.1118
Mg: 0.5000 0.0000 0.3712
Mg: 0.5000 0.0000 0.6288
Mg: 0.5000 0.0000 0.8882
Ag: 0.5000 0.5000 0.0000
Pb: 0.5000 0.5000 0.2425
Pb: 0.5000 0.5000 0.5000
Pb: 0.5000 0.5000 0.7575

Computed properties:
ΔE_f, eV/f.u.: -1.027



First-principles (PBE) data for a geometry-optimized TcAs2Pt structure, as listed in Alexandria.

a b c (Å): 4.4839 4.4839 4.4839
angles (deg): 60.00 60.00 60.00
Positions (direct):
Tc: 0.0000 0.0000 0.0000
As: 0.2500 0.2500 0.2500
As: 0.7500 0.7500 0.7500
Pt: 0.5000 0.5000 0.5000

Computed properties:
ΔE_f, eV/f.u.: 0.624
Energy above the lowest structure with this stoichiometry, eV/atom: 0.260



First-principles (PBE) data for a geometry-optimized CoSbMo2 structure, as listed in Alexandria.

a b c (Å): 8.2158 8.2158 8.2158
angles (deg): 21.73 21.73 21.73
Positions (direct):
Co: 0.0000 0.0000 0.0000
Sb: 0.2492 0.2492 0.2492
Mo: 0.4882 0.4882 0.4882
Mo: 0.7414 0.7414 0.7414

Computed properties:
Uncorrected formation energy, eV/atom: 0.413



First-principles (PBE) data for a geometry-optimized Nd19Sm4Er6 structure, as listed in Alexandria.

a b c (Å): 11.0168 11.0168 11.0168
angles (deg): 109.47 109.47 109.47
Positions (direct):
Nd: 0.0000 0.0000 0.0000
Nd: 0.0000 0.2607 0.2607
Nd: 0.0000 0.7393 0.7393
Nd: 0.0172 0.2203 0.6755
Nd: 0.2031 0.9828 0.6583
Nd: 0.2203 0.6755 0.0172
Nd: 0.2607 0.0000 0.2607
Nd: 0.2607 0.2607 0.0000
Nd: 0.3245 0.5448 0.3417
Nd: 0.3417 0.3245 0.5448
Nd: 0.4552 0.7797 0.7969
Nd: 0.5448 0.3417 0.3245
Nd: 0.6583 0.2031 0.9828
Nd: 0.6755 0.0172 0.2203
Nd: 0.7393 0.0000 0.7393
Nd: 0.7393 0.7393 0.0000
Nd: 0.7797 0.7969 0.4552
Nd: 0.7969 0.4552 0.7797
Nd: 0.9828 0.6583 0.2031
Sm: 0.0000 0.0000 0.3630
Sm: 0.0000 0.3630 0.0000
Sm: 0.3630 0.0000 0.0000
Sm: 0.6370 0.6370 0.6370
Er: 0.1239 0.5000 0.6239
Er: 0.3761 0.8761 0.5000
Er: 0.5000 0.3761 0.8761
Er: 0.5000 0.6239 0.1239
Er: 0.6239 0.1239 0.5000
Er: 0.8761 0.5000 0.3761

Computed properties:
ΔE_f, eV/f.u.: 10.591



First-principles (PBE) data for a geometry-optimized PmTl3Br7 structure, as listed in Alexandria.

a b c (Å): 8.1014 8.1014 8.6160
angles (deg): 119.07 119.07 84.97
Positions (direct):
Pm: 0.0000 0.0000 0.0000
Tl: 0.2831 0.8446 0.5659
Tl: 0.5720 0.5720 0.1423
Tl: 0.8446 0.2831 0.5659
Br: 0.0126 0.3890 0.3242
Br: 0.2008 0.2008 0.9174
Br: 0.2022 0.6882 0.8365
Br: 0.3890 0.0126 0.3242
Br: 0.6882 0.2022 0.8365
Br: 0.6892 0.6892 0.6165
Br: 0.8723 0.8723 0.1933

Computed properties:
Uncorrected formation energy, eV/atom: -1.102



First-principles (PBE) data for a geometry-optimized Na3GaP2H2O9 structure, as listed in Alexandria.

a b c (Å): 8.5845 8.5845 7.1597
angles (deg): 96.08 96.08 49.88
Positions (direct):
Na: 0.0000 0.5000 0.5000
Na: 0.2356 0.7644 0.0000
Na: 0.3893 0.3893 0.2947
Na: 0.5000 0.0000 0.5000
Na: 0.6107 0.6107 0.7053
Na: 0.7644 0.2356 0.0000
Ga: 0.0000 0.5000 0.0000
Ga: 0.5000 0.0000 0.0000
P: 0.1174 0.1174 0.7014
P: 0.3789 0.3789 0.7750
P: 0.6211 0.6211 0.2250
P: 0.8826 0.8826 0.2986
H: 0.0572 0.0572 0.3936
H: 0.1892 0.1892 0.1808
H: 0.8108 0.8108 0.8192
H: 0.9428 0.9428 0.6064
O: 0.0095 0.6542 0.2349
O: 0.0254 0.0254 0.7584
O: 0.1156 0.1156 0.4764
O: 0.1751 0.5297 0.8842
O: 0.2419 0.2419 0.1189
O: 0.3331 0.3331 0.5735
O: 0.3458 0.9905 0.7651
O: 0.4703 0.8249 0.1158
O: 0.4775 0.4775 0.7845
O: 0.5225 0.5225 0.2155
O: 0.5297 0.1751 0.8842
O: 0.6542 0.0095 0.2349
O: 0.6669 0.6669 0.4265
O: 0.7581 0.7581 0.8811
O: 0.8249 0.4703 0.1158
O: 0.8844 0.8844 0.5236
O: 0.9746 0.9746 0.2416
O: 0.9905 0.3458 0.7651

Computed properties:
DFT total energy, hartree per atom: -0.2229



First-principles (PBE) data for a geometry-optimized Cd2InAg4Au structure, as listed in Alexandria.

a b c (Å): 7.2018 7.2018 15.2972
angles (deg): 90.00 90.00 155.33
Positions (direct):
Cd: 0.1572 0.8428 0.5913
Cd: 0.1572 0.8428 0.9087
Cd: 0.8428 0.1572 0.0913
Cd: 0.8428 0.1572 0.4087
In: 0.3710 0.6290 0.7500
In: 0.6290 0.3710 0.2500
Ag: 0.0339 0.9661 0.7500
Ag: 0.1488 0.8512 0.0903
Ag: 0.1488 0.8512 0.4097
Ag: 0.5000 0.5000 0.0000
Ag: 0.5000 0.5000 0.5000
Ag: 0.8512 0.1488 0.5903
Ag: 0.8512 0.1488 0.9097
Ag: 0.9661 0.0339 0.2500
Au: 0.2982 0.7018 0.2500
Au: 0.7018 0.2982 0.7500

Computed properties:
ΔE_f, eV/f.u.: 0.238



First-principles (PBE) data for a geometry-optimized Hf2ZnSi structure, as listed in Alexandria.

a b c (Å): 5.9110 5.9110 5.9110
angles (deg): 103.98 103.98 121.13
Positions (direct):
Hf: 0.1184 0.6250 0.9934
Hf: 0.3750 0.3684 0.4934
Hf: 0.6316 0.1250 0.0066
Hf: 0.8750 0.8816 0.5066
Zn: 0.2500 0.7500 0.5000
Zn: 0.5000 0.5000 0.0000
Si: 0.0000 0.0000 0.0000
Si: 0.7500 0.2500 0.5000

Computed properties:
Uncorrected formation energy, eV/atom: -0.031



First-principles (PBE) data for a geometry-optimized Y2InGa2 structure, as listed in Alexandria.

a b c (Å): 7.2429 7.2429 4.4256
angles (deg): 90.00 90.00 90.00
Positions (direct):
Y: 0.1730 0.3270 0.0000
Y: 0.3270 0.8270 0.0000
Y: 0.6730 0.1730 0.0000
Y: 0.8270 0.6730 0.0000
In: 0.0000 0.0000 0.5000
In: 0.5000 0.5000 0.5000
Ga: 0.1249 0.6249 0.5000
Ga: 0.3751 0.1249 0.5000
Ga: 0.6249 0.8751 0.5000
Ga: 0.8751 0.3751 0.5000

Computed properties:
ΔE_f, eV/f.u.: -3.233
Energy above the lowest structure with this stoichiometry, eV/atom: 0.000



First-principles (PBE) data for a geometry-optimized PaAsS2N structure, as listed in Alexandria.

a b c (Å): 3.7974 3.7974 12.5906
angles (deg): 90.00 90.00 90.00
Positions (direct):
Pa: 0.2500 0.2500 0.1001
Pa: 0.7500 0.7500 0.8999
As: 0.2500 0.2500 0.6057
As: 0.7500 0.7500 0.3943
S: 0.2500 0.2500 0.3917
S: 0.2500 0.2500 0.8003
S: 0.7500 0.7500 0.1997
S: 0.7500 0.7500 0.6083
N: 0.2500 0.7500 0.0000
N: 0.7500 0.2500 0.0000

Computed properties:
Uncorrected formation energy, eV/atom: -1.015



First-principles (PBE) data for a geometry-optimized AlSn4Au5 structure, as listed in Alexandria.

a b c (Å): 5.6409 6.3399 6.6899
angles (deg): 91.95 104.18 107.94
Positions (direct):
Al: 0.0000 0.0000 0.0000
Sn: 0.1152 0.7722 0.6109
Sn: 0.4530 0.5877 0.2388
Sn: 0.5470 0.4123 0.7612
Sn: 0.8848 0.2278 0.3891
Au: 0.0613 0.3781 0.8345
Au: 0.3406 0.1265 0.3626
Au: 0.5000 0.0000 0.0000
Au: 0.6594 0.8735 0.6374
Au: 0.9387 0.6219 0.1655

Computed properties:
ΔE_f, eV/f.u.: -1.645



First-principles (PBE) data for a geometry-optimized Ag5BiS4 structure, as listed in Alexandria.

a b c (Å): 8.3302 9.7051 5.5597
angles (deg): 90.00 90.00 90.00
Positions (direct):
Ag: 0.0665 0.0487 0.2470
Ag: 0.0665 0.4513 0.2470
Ag: 0.2500 0.7500 0.2661
Ag: 0.4335 0.0487 0.2470
Ag: 0.4335 0.4513 0.2470
Ag: 0.5665 0.5487 0.7530
Ag: 0.5665 0.9513 0.7530
Ag: 0.7500 0.2500 0.7339
Ag: 0.9335 0.5487 0.7530
Ag: 0.9335 0.9513 0.7530
Bi: 0.2500 0.2500 0.6656
Bi: 0.7500 0.7500 0.3344
S: 0.0138 0.2500 0.9777
S: 0.2500 0.5399 0.5784
S: 0.2500 0.9601 0.5784
S: 0.4862 0.2500 0.9777
S: 0.5138 0.7500 0.0223
S: 0.7500 0.0399 0.4216
S: 0.7500 0.4601 0.4216
S: 0.9862 0.7500 0.0223

Computed properties:
Uncorrected formation energy, eV/atom: -0.063
Energy above the lowest structure with this stoichiometry, eV/atom: 0.000



First-principles (PBE) data for a geometry-optimized CoTeRh2 structure, as listed in Alexandria.

a b c (Å): 3.4132 3.4132 5.4931
angles (deg): 90.00 90.00 90.00
Positions (direct):
Co: 0.0000 0.0000 0.0000
Te: 0.5000 0.5000 0.6880
Rh: 0.0000 0.0000 0.4700
Rh: 0.5000 0.5000 0.1708

Computed properties:
Uncorrected formation energy, eV/atom: 0.172



First-principles (PBE) data for a geometry-optimized Ti5CuN structure, as listed in Alexandria.

a b c (Å): 3.7456 3.7456 6.9612
angles (deg): 90.00 90.00 90.00
Positions (direct):
Ti: 0.0000 0.0000 0.0000
Ti: 0.0000 0.5000 0.3088
Ti: 0.0000 0.5000 0.6912
Ti: 0.5000 0.0000 0.3088
Ti: 0.5000 0.0000 0.6912
Cu: 0.5000 0.5000 0.0000
N: 0.5000 0.5000 0.5000

Computed properties:
Uncorrected formation energy, eV/atom: -0.252
Energy above the lowest structure with this stoichiometry, eV/atom: 0.214



First-principles (PBE) data for a geometry-optimized SrBeSb2 structure, as listed in Alexandria.

a b c (Å): 4.7585 4.7585 4.4984
angles (deg): 90.00 90.00 90.00
Positions (direct):
Sr: 0.0000 0.0000 0.0000
Be: 0.5000 0.5000 0.0000
Sb: 0.0000 0.5000 0.5000
Sb: 0.5000 0.0000 0.5000

Computed properties:
Uncorrected formation energy, eV/atom: 0.008



First-principles (PBE) data for a geometry-optimized PaCdCl6 structure, as listed in Alexandria.

a b c (Å): 7.2532 7.2532 7.2532
angles (deg): 55.17 55.17 55.17
Positions (direct):
Pa: 0.0000 0.0000 0.0000
Cd: 0.5000 0.5000 0.5000
Cl: 0.0999 0.3987 0.7514
Cl: 0.2486 0.9001 0.6013
Cl: 0.3987 0.7514 0.0999
Cl: 0.6013 0.2486 0.9001
Cl: 0.7514 0.0999 0.3987
Cl: 0.9001 0.6013 0.2486

Computed properties:
Uncorrected formation energy, eV/atom: -1.552



First-principles (PBE) data for a geometry-optimized V3AsH structure, as listed in Alexandria.

a b c (Å): 5.3671 5.3671 4.4827
angles (deg): 90.00 90.00 120.00
Positions (direct):
V: 0.1651 0.3302 0.2500
V: 0.1651 0.8349 0.2500
V: 0.3302 0.1651 0.7500
V: 0.6698 0.8349 0.2500
V: 0.8349 0.1651 0.7500
V: 0.8349 0.6698 0.7500
As: 0.3333 0.6667 0.7500
As: 0.6667 0.3333 0.2500
H: 0.0000 0.0000 0.0000
H: 0.0000 0.0000 0.5000

Computed properties:
Energy above the lowest structure with this stoichiometry, eV/atom: 0.000



First-principles (PBE) data for a geometry-optimized ErTmMnAu structure, as listed in Alexandria.

a b c (Å): 5.0050 5.0050 5.0050
angles (deg): 60.00 60.00 60.00
Positions (direct):
Er: 0.0000 0.0000 0.0000
Tm: 0.5000 0.5000 0.5000
Mn: 0.7500 0.7500 0.7500
Au: 0.2500 0.2500 0.2500

Computed properties:
ΔE_f, eV/f.u.: -1.121



First-principles (PBE) data for a geometry-optimized SrLi5Mg2 structure, as listed in Alexandria.

a b c (Å): 7.4371 7.4371 7.4371
angles (deg): 145.29 113.53 77.21
Positions (direct):
Sr: 0.0000 0.0000 0.0000
Li: 0.1830 0.3656 0.8174
Li: 0.4518 0.6344 0.8174
Li: 0.5000 0.0000 0.5000
Li: 0.5482 0.3656 0.1826
Li: 0.8170 0.6344 0.1826
Mg: 0.2487 0.7487 0.5000
Mg: 0.7513 0.2513 0.5000

Computed properties:
ΔE_f, eV/f.u.: 0.465
Energy above the lowest structure with this stoichiometry, eV/atom: 0.000



First-principles (PBE) data for a geometry-optimized Sc2SeBr structure, as listed in Alexandria.

a b c (Å): 5.3949 5.3949 4.6973
angles (deg): 97.84 97.84 37.38
Positions (direct):
Sc: 0.0000 0.0000 0.0000
Sc: 0.7485 0.7485 0.4123
Se: 0.4786 0.4786 0.4767
Br: 0.2530 0.2530 0.9100

Computed properties:
Uncorrected formation energy, eV/atom: -1.020
Energy above the lowest structure with this stoichiometry, eV/atom: 0.217



First-principles (PBE) data for a geometry-optimized Pd3PtO6 structure, as listed in Alexandria.

a b c (Å): 5.0945 5.0156 10.5580
angles (deg): 90.00 116.95 90.00
Positions (direct):
Pd: 0.0000 0.0000 0.0000
Pd: 0.0000 0.5000 0.5000
Pd: 0.1949 0.1115 0.6985
Pd: 0.1949 0.3885 0.1985
Pd: 0.8051 0.6115 0.8015
Pd: 0.8051 0.8885 0.3015
Pt: 0.5000 0.0000 0.5000
Pt: 0.5000 0.5000 0.0000
O: 0.1634 0.0608 0.3023
O: 0.1634 0.4392 0.8023
O: 0.2737 0.6871 0.0933
O: 0.2737 0.8129 0.5933
O: 0.4047 0.1857 0.0958
O: 0.4047 0.3143 0.5958
O: 0.5953 0.6857 0.4042
O: 0.5953 0.8143 0.9042
O: 0.7263 0.1871 0.4067
O: 0.7263 0.3129 0.9067
O: 0.8366 0.5608 0.1977
O: 0.8366 0.9392 0.6977

Computed properties:
Uncorrected formation energy, eV/atom: -0.279